Entry 1:
CaMn2Pb after structural relaxation. Source: the Alexandria database, functional PBE-GGA.

Lattice parameters (Å, degrees): 6.053 6.053 3.180 76.07 76.07 117.68
Site moments in Bohr magnetons follow the coordinates.
Fractional coordinates of all 4 atoms:
Mn (0.500, 0.500, 0.000)  3.85
Mn (0.000, 0.000, 0.000)  3.85
Ca (0.000, 0.500, 0.500)  -0.04
Pb (0.500, 0.000, 0.500)  -0.03

The space group is C2/m. The calculation puts the volume at 91 Å³ per cell. The calculation puts the density of states at the Fermi level at 2.9 states/eV per cell.

=====

Entry 2:
SrCa2Au3 after structural relaxation. Source: the Alexandria database, functional PBE-GGA.

Lattice parameters (Å, degrees): 3.736 3.736 10.945 90.00 90.00 90.00
Fractional coordinates of all 6 atoms:
Ca (0.500, 0.500, 0.160)
Ca (0.500, 0.500, 0.840)
Au (0.000, 0.000, 0.000)
Au (0.000, 0.000, 0.314)
Au (0.000, 0.000, 0.686)
Sr (0.500, 0.500, 0.500)

The space group is P4/mmm. The calculation puts the volume at 153 Å³ per cell. The calculation puts the density of states at the Fermi level at 3.8 states/eV per cell.

=====

| no. | magnetic moment (μB/f.u.) | ΔE_f (kJ per mole of atoms) | raw total energy (eV/atom) |
| --- | --- | --- | --- |
| 1 | 7.9 | 45.5 | -5.541 |
| 2 | 0.0 | -73.7 | -3.350 |